DFT (PBE) results for Ba4Au2Br after structural relaxation.

Summary:
Polymorph energy (0 for the lowest one) = 0.00 kJ/mol of atoms
D(E_F) = 15.30 states/eV/cell
Volume = 44.8 A^3/atom
Uncorrected formation energy = -86.5 kJ/mol of atoms
Total magnetization = 0.00 μB per cell

Cell lengths 4.7632, 4.7632, 47.9335 Å; angles 90.00, 90.00, 120.00 degrees
Space group R-3m (No. 166, hexagonal axes)
Inequivalent atoms, fractional coordinates:
Ba1 0.0000 0.0000 0.1242 (multiplicity 6)
Ba2 0.0000 0.0000 0.2844 (multiplicity 6)
Au1 0.0000 0.0000 0.4200 (multiplicity 6)
Br1 0.0000 0.0000 0.0000 (multiplicity 3)

=====

DFT (PBE) results for In2Ge4Mo after structural relaxation.

Summary:
D(E_F) = 4.31 states/eV/cell
Formation enthalpy at 0 K = 37.1 kJ per mole of atoms
Volume = 28.0 A^3/atom
Total magnetization = 0.00 μB per cell

Cell lengths 4.776, 4.776, 17.206 Å; angles 90.00, 90.00, 90.00 degrees
Space group I4/mmm (No. 139)
Inequivalent atoms, fractional coordinates:
In1 0.000 0.000 0.190 (multiplicity 4)
Ge1 0.000 0.000 0.356 (multiplicity 4)
Ge2 0.000 0.500 0.000 (multiplicity 4)
Mo1 0.000 0.000 0.500 (multiplicity 2)